# 1
Material: TbMg2I6
Method: DFT, PBE
State: relaxed

The total energy comes out at -2.881 eV per atom. The size of the total moment is 3.00 Bohr magnetons per cell. For the raw formation energy, the calculation gives -979 meV/atom.

Unit cell a=7.9327 b=7.9327 c=23.4655 alpha=90.00 beta=90.00 gamma=120.00
Space group R3 (No. 146, hexagonal axes)
Asymmetric unit:
Tb (0.0000, 0.0000, 0.0000) x3
Mg (0.0000, 0.0000, 0.6060) x3
Mg (0.0000, 0.0000, 0.7308) x3
I (0.9998, 0.6939, 0.0810) x9
I (0.0304, 0.3598, 0.5853) x9

# 2
Material: TbMgTlI6
Method: DFT, PBE
State: relaxed

The total energy comes out at -3.092 eV per atom. The size of the total moment is 0.00 Bohr magnetons per cell. For the raw formation energy, the calculation gives -1104 meV/atom. Its density of states at the Fermi level is 0.000 states/eV/cell.

Unit cell a=7.7510 b=7.7510 c=15.2817 alpha=90.00 beta=90.00 gamma=120.00
Space group P-31c (No. 163)
Asymmetric unit:
Tb (0.3333, 0.6667, 0.2500) x2
Mg (0.3333, 0.6667, 0.7500) x2
Tl (0.0000, 0.0000, 0.0000) x2
I (0.0097, 0.3735, 0.6368) x12

# 3
Material: MgTc2I
Method: DFT, PBE
State: relaxed

The total energy comes out at -4.734 eV per atom. For the energy above the most stable polymorph in this dataset, the calculation gives 492.7 meV/atom. The size of the total moment is 0.00 Bohr magnetons per cell. For the raw formation energy, the calculation gives 1235 meV/atom. Its density of states at the Fermi level is 30.188 states/eV/cell.

Unit cell a=7.696 b=7.696 c=5.488 alpha=90.00 beta=90.00 gamma=90.00
Space group I-42d (No. 122)
Asymmetric unit:
Mg (0.000, 0.000, 0.000) x4
Tc (0.195, 0.750, 0.625) x8
I (0.000, 0.000, 0.500) x4

# 4
Material: MgTcI2
Method: DFT, PBE
State: relaxed

The total energy comes out at -3.219 eV per atom. For the energy above the most stable polymorph in this dataset, the calculation gives 0.0 meV/atom. The size of the total moment is 0.00 Bohr magnetons per cell. For the raw formation energy, the calculation gives 546 meV/atom. Its density of states at the Fermi level is 9.820 states/eV/cell.

Unit cell a=6.248 b=6.248 c=12.739 alpha=90.00 beta=90.00 gamma=90.00
Space group I-42d (No. 122)
Asymmetric unit:
Mg (0.000, 0.000, 0.000) x4
Tc (0.000, 0.000, 0.500) x4
I (0.222, 0.250, 0.625) x8

# 5
Material: MgTc3I
Method: DFT, PBE
State: relaxed

The total energy comes out at -5.131 eV per atom. For the energy above the most stable polymorph in this dataset, the calculation gives 0.0 meV/atom. The size of the total moment is 2.60 Bohr magnetons per cell. For the raw formation energy, the calculation gives 1717 meV/atom. Its density of states at the Fermi level is 4.250 states/eV/cell.

Unit cell a=4.830 b=4.830 c=4.830 alpha=90.00 beta=90.00 gamma=90.00
Space group Pm-3m (No. 221)
Asymmetric unit:
Mg (0.000, 0.000, 0.000) x1
Tc (0.000, 0.500, 0.500) x3
I (0.500, 0.500, 0.500) x1

# 6
Material: MgTcI2
Method: DFT, PBE
State: relaxed

The total energy comes out at -3.137 eV per atom. For the energy above the most stable polymorph in this dataset, the calculation gives 82.7 meV/atom. The size of the total moment is 0.00 Bohr magnetons per cell. For the raw formation energy, the calculation gives 629 meV/atom. Its density of states at the Fermi level is 23.044 states/eV/cell.

Unit cell a=7.086 b=7.086 c=7.086 alpha=90.00 beta=90.00 gamma=90.00
Space group Fm-3m (No. 225)
Asymmetric unit:
Mg (0.000, 0.000, 0.000) x4
Tc (0.000, 0.000, 0.500) x4
I (0.250, 0.250, 0.250) x8

# 7
Material: MgTc2I
Method: DFT, PBE
State: relaxed

The total energy comes out at -5.227 eV per atom. For the energy above the most stable polymorph in this dataset, the calculation gives 0.0 meV/atom. The size of the total moment is 0.00 Bohr magnetons per cell. For the raw formation energy, the calculation gives 743 meV/atom. Its density of states at the Fermi level is 11.494 states/eV/cell.

Unit cell a=6.414 b=6.414 c=6.414 alpha=90.00 beta=90.00 gamma=90.00
Space group Fm-3m (No. 225)
Asymmetric unit:
Mg (0.000, 0.000, 0.000) x4
Tc (0.250, 0.250, 0.250) x8
I (0.000, 0.000, 0.500) x4

# 8
Material: MgTcI6
Method: DFT, PBE
State: relaxed

The total energy comes out at -3.072 eV per atom. The size of the total moment is 6.15 Bohr magnetons per cell. For the raw formation energy, the calculation gives -414 meV/atom.

Unit cell a=7.705 b=13.446 c=6.948 alpha=90.00 beta=93.02 gamma=90.00
Space group C2/m (No. 12)
Asymmetric unit:
Mg (0.000, 0.000, 0.000) x2
Tc (0.000, 0.000, 0.500) x2
I (0.145, 0.144, 0.276) x8
I (0.209, 0.500, 0.251) x4

# 9
Material: Mg3TcI
Method: DFT, PBE
State: relaxed

The total energy comes out at -2.679 eV per atom. For the energy above the most stable polymorph in this dataset, the calculation gives 0.0 meV/atom. The size of the total moment is 2.24 Bohr magnetons per cell. For the raw formation energy, the calculation gives 661 meV/atom. Its density of states at the Fermi level is 6.571 states/eV/cell.

Unit cell a=5.280 b=5.280 c=5.280 alpha=90.00 beta=90.00 gamma=90.00
Space group Pm-3m (No. 221)
Asymmetric unit:
Mg (0.000, 0.000, 0.500) x3
Tc (0.000, 0.000, 0.000) x1
I (0.500, 0.500, 0.500) x1

# 10
Material: MgTl2TcI
Method: DFT, PBE
State: relaxed

The total energy comes out at -3.236 eV per atom. The size of the total moment is 1.52 Bohr magnetons per cell. For the raw formation energy, the calculation gives 413 meV/atom. Its density of states at the Fermi level is 5.734 states/eV/cell.

Unit cell a=5.395 b=5.395 c=5.415 alpha=90.00 beta=90.00 gamma=90.00
Space group P4/mmm (No. 123)
Asymmetric unit:
Mg (0.000, 0.000, 0.000) x1
Tl (0.000, 0.500, 0.500) x2
Tc (0.000, 0.000, 0.500) x1
I (0.500, 0.500, 0.000) x1

# 11
Material: YMgTcI
Method: DFT, PBE
State: relaxed

The total energy comes out at -4.984 eV per atom. For the energy above the most stable polymorph in this dataset, the calculation gives 78.0 meV/atom. The size of the total moment is 0.00 Bohr magnetons per cell. For the raw formation energy, the calculation gives 9 meV/atom. Its density of states at the Fermi level is 3.427 states/eV/cell.

Unit cell a=6.396 b=3.696 c=8.802 alpha=90.00 beta=103.78 gamma=90.00
Space group Cm (No. 8)
Asymmetric unit:
Y (0.000, 0.000, 0.000) x2
Mg (0.197, 0.000, 0.584) x2
Tc (0.095, 0.500, 0.781) x2
I (0.428, 0.000, 0.287) x2

# 12
Material: YMgTcI
Method: DFT, PBE
State: relaxed

The total energy comes out at -4.868 eV per atom. For the energy above the most stable polymorph in this dataset, the calculation gives 193.9 meV/atom. The size of the total moment is 0.00 Bohr magnetons per cell. For the raw formation energy, the calculation gives 125 meV/atom. Its density of states at the Fermi level is 3.765 states/eV/cell.

Unit cell a=3.660 b=4.435 c=5.709 alpha=90.00 beta=103.71 gamma=90.00
Space group Pm (No. 6)
Asymmetric unit:
Y (0.000, 0.000, 0.000) x1
Mg (0.750, 0.500, 0.353) x1
Tc (0.355, 0.000, 0.494) x1
I (0.419, 0.500, 0.784) x1

# 13
Material: YMgTcI
Method: DFT, PBE
State: relaxed

The total energy comes out at -4.857 eV per atom. For the energy above the most stable polymorph in this dataset, the calculation gives 205.7 meV/atom. The size of the total moment is 0.77 Bohr magnetons per cell. For the raw formation energy, the calculation gives 137 meV/atom. Its density of states at the Fermi level is 3.416 states/eV/cell.

Unit cell a=4.2782 b=4.2782 c=6.7191 alpha=90.00 beta=90.00 gamma=120.00
Space group P3m1 (No. 156)
Asymmetric unit:
Y (0.0000, 0.0000, 0.0000) x1
Mg (0.3333, 0.6667, 0.6500) x1
Tc (0.6667, 0.3333, 0.7735) x1
I (0.6667, 0.3333, 0.3430) x1

# 14
Material: YMgTcI
Method: DFT, PBE
State: relaxed

The total energy comes out at -4.891 eV per atom. For the energy above the most stable polymorph in this dataset, the calculation gives 171.3 meV/atom. The size of the total moment is 0.39 Bohr magnetons per cell. For the raw formation energy, the calculation gives 103 meV/atom. Its density of states at the Fermi level is 3.011 states/eV/cell.

Unit cell a=4.717 b=3.431 c=7.075 alpha=90.00 beta=109.41 gamma=90.00
Space group Pm (No. 6)
Asymmetric unit:
Y (0.000, 0.000, 0.000) x1
Mg (0.665, 0.000, 0.332) x1
Tc (0.500, 0.500, 0.999) x1
I (0.332, 0.000, 0.663) x1

# 15
Material: YMgTcI
Method: DFT, PBE
State: relaxed

The total energy comes out at -4.869 eV per atom. For the energy above the most stable polymorph in this dataset, the calculation gives 193.1 meV/atom. The size of the total moment is 0.00 Bohr magnetons per cell. For the raw formation energy, the calculation gives 124 meV/atom. Its density of states at the Fermi level is 3.100 states/eV/cell.

Unit cell a=3.440 b=5.504 c=5.941 alpha=101.49 beta=106.83 gamma=108.07
Space group P1 (No. 1)
Asymmetric unit:
Y (0.000, 0.000, 0.000) x1
Mg (0.042, 0.425, 0.655) x1
Tc (0.286, 0.974, 0.589) x1
I (0.457, 0.639, 0.264) x1

# 16
Material: YMgTcI
Method: DFT, PBE
State: relaxed

The total energy comes out at -5.042 eV per atom. For the energy above the most stable polymorph in this dataset, the calculation gives 20.4 meV/atom. The size of the total moment is 1.60 Bohr magnetons per cell. For the raw formation energy, the calculation gives -48 meV/atom. Its density of states at the Fermi level is 7.873 states/eV/cell.

Unit cell a=3.540 b=3.595 c=15.463 alpha=90.00 beta=90.00 gamma=90.00
Space group Amm2 (No. 38)
Asymmetric unit:
Y (0.000, 0.000, 0.000) x2
Mg (0.000, 0.000, 0.194) x2
Tc (0.500, 0.000, 0.606) x2
I (0.500, 0.000, 0.821) x2

# 17
Material: YMgTcI
Method: DFT, PBE
State: relaxed

The total energy comes out at -4.899 eV per atom. For the energy above the most stable polymorph in this dataset, the calculation gives 162.9 meV/atom. The size of the total moment is 1.61 Bohr magnetons per cell. For the raw formation energy, the calculation gives 94 meV/atom. Its density of states at the Fermi level is 8.020 states/eV/cell.

Unit cell a=4.557 b=3.768 c=10.903 alpha=90.00 beta=90.00 gamma=90.00
Space group Amm2 (No. 38)
Asymmetric unit:
Y (0.000, 0.000, 0.000) x2
Mg (0.500, 0.000, 0.313) x2
Tc (0.500, 0.000, 0.569) x2
I (0.000, 0.000, 0.719) x2

# 18
Material: YMgTcI
Method: DFT, PBE
State: relaxed

The total energy comes out at -5.062 eV per atom. For the energy above the most stable polymorph in this dataset, the calculation gives 0.0 meV/atom. The size of the total moment is 1.67 Bohr magnetons per cell. For the raw formation energy, the calculation gives -69 meV/atom. Its density of states at the Fermi level is 7.499 states/eV/cell.

Unit cell a=17.023 b=3.536 c=3.526 alpha=90.00 beta=101.80 gamma=90.00
Space group Cm (No. 8)
Asymmetric unit:
Y (0.000, 0.000, 0.000) x2
Mg (0.186, 0.000, 0.183) x2
Tc (0.100, 0.500, 0.598) x2
I (0.370, 0.000, 0.371) x2

# 19
Material: YMgTcI
Method: DFT, PBE
State: relaxed

The total energy comes out at -5.045 eV per atom. For the energy above the most stable polymorph in this dataset, the calculation gives 17.5 meV/atom. The size of the total moment is 0.88 Bohr magnetons per cell. For the raw formation energy, the calculation gives -51 meV/atom. Its density of states at the Fermi level is 4.212 states/eV/cell.

Unit cell a=3.555 b=3.555 c=7.583 alpha=90.00 beta=90.00 gamma=90.00
Space group P4mm (No. 99)
Asymmetric unit:
Y (0.000, 0.000, 0.000) x1
Mg (0.000, 0.000, 0.395) x1
Tc (0.500, 0.500, 0.219) x1
I (0.500, 0.500, 0.695) x1

# 20
Material: YMgTcI
Method: DFT, PBE
State: relaxed

The total energy comes out at -4.872 eV per atom. For the energy above the most stable polymorph in this dataset, the calculation gives 190.3 meV/atom. The size of the total moment is 0.40 Bohr magnetons per cell. For the raw formation energy, the calculation gives 122 meV/atom. Its density of states at the Fermi level is 6.440 states/eV/cell.

Unit cell a=12.342 b=4.494 c=3.483 alpha=90.00 beta=99.94 gamma=90.00
Space group Cm (No. 8)
Asymmetric unit:
Y (0.000, 0.000, 0.000) x2
Mg (0.318, 0.000, 0.643) x2
Tc (0.291, 0.500, 0.150) x2
I (0.113, 0.500, 0.569) x2

# 21
Material: MgZr2TcI
Method: DFT, PBE
State: relaxed

The total energy comes out at -5.053 eV per atom. The size of the total moment is 0.00 Bohr magnetons per cell. For the raw formation energy, the calculation gives 1068 meV/atom. Its density of states at the Fermi level is 7.291 states/eV/cell.

Unit cell a=5.250 b=5.250 c=4.855 alpha=90.00 beta=90.00 gamma=90.00
Space group P4/mmm (No. 123)
Asymmetric unit:
Mg (0.000, 0.000, 0.000) x1
Zr (0.000, 0.500, 0.500) x2
Tc (0.500, 0.500, 0.000) x1
I (0.500, 0.500, 0.500) x1

# 22
Material: MgTe3I
Method: DFT, PBE
State: relaxed

The total energy comes out at -2.286 eV per atom. For the energy above the most stable polymorph in this dataset, the calculation gives 0.0 meV/atom. The size of the total moment is 0.00 Bohr magnetons per cell. For the raw formation energy, the calculation gives 228 meV/atom. Its density of states at the Fermi level is 3.780 states/eV/cell.

Unit cell a=5.492 b=5.492 c=5.492 alpha=90.00 beta=90.00 gamma=90.00
Space group Pm-3m (No. 221)
Asymmetric unit:
Mg (0.000, 0.000, 0.000) x1
Te (0.000, 0.000, 0.500) x3
I (0.500, 0.500, 0.500) x1

# 23
Material: Mg2TeI2
Method: DFT, PBE
State: relaxed

The total energy comes out at -2.610 eV per atom. The size of the total moment is 0.00 Bohr magnetons per cell. For the raw formation energy, the calculation gives -724 meV/atom.

Unit cell a=8.470 b=6.598 c=12.149 alpha=90.00 beta=90.00 gamma=90.00
Space group Pnma (No. 62)
Asymmetric unit:
Mg (0.071, 0.250, 0.242) x4
Mg (0.146, 0.250, 0.585) x4
Te (0.191, 0.750, 0.893) x4
I (0.052, 0.750, 0.225) x4
I (0.155, 0.750, 0.567) x4

# 24
Material: MgTeI2
Method: DFT, PBE
State: relaxed

The total energy comes out at -2.250 eV per atom. For the energy above the most stable polymorph in this dataset, the calculation gives 0.0 meV/atom. The size of the total moment is 0.00 Bohr magnetons per cell. For the raw formation energy, the calculation gives -291 meV/atom. Its density of states at the Fermi level is 4.930 states/eV/cell.

Unit cell a=10.881 b=10.881 c=5.632 alpha=90.00 beta=90.00 gamma=90.00
Space group I-42d (No. 122)
Asymmetric unit:
Mg (0.000, 0.000, 0.000) x4
Te (0.000, 0.000, 0.500) x4
I (0.080, 0.750, 0.125) x8

# 25
Material: MgTeI3
Method: DFT, PBE
State: relaxed

The total energy comes out at -2.018 eV per atom. For the energy above the most stable polymorph in this dataset, the calculation gives 0.0 meV/atom. The size of the total moment is 2.99 Bohr magnetons per cell. For the raw formation energy, the calculation gives -141 meV/atom. Its density of states at the Fermi level is 0.617 states/eV/cell.

Unit cell a=5.796 b=5.796 c=5.796 alpha=90.00 beta=90.00 gamma=90.00
Space group Pm-3m (No. 221)
Asymmetric unit:
Mg (0.000, 0.000, 0.000) x1
Te (0.500, 0.500, 0.500) x1
I (0.000, 0.000, 0.500) x3

# 26
Material: Mg2TeI2
Method: DFT, PBE
State: relaxed

The total energy comes out at -2.837 eV per atom. The size of the total moment is 0.00 Bohr magnetons per cell. For the raw formation energy, the calculation gives -951 meV/atom. Its density of states at the Fermi level is 0.000 states/eV/cell.

Unit cell a=7.304 b=4.214 c=11.111 alpha=90.00 beta=90.70 gamma=90.00
Space group C2/m (No. 12)
Asymmetric unit:
Mg (0.171, 0.000, 0.156) x4
Te (0.000, 0.500, 0.000) x2
I (0.161, 0.000, 0.694) x4